{"formula": "As2P2S7", "functional": "PBE", "state": "optimized geometry", "dos_at_fermi_per_ev_atom": 0.000, "m_tot_mub_per_fu": 0.000, "mass_density_g_cm3": 2.16, "energy_ev_per_atom": -4.650, "lattice_angstrom": [[-5.756, 4.697, -4.432], [-8.702, -7.155, 3.719], [-1.985, 7.476, 10.502]], "species": ["S", "S", "S", "S", "S", "S", "S", "As", "As", "S", "S", "As", "As", "S", "P", "P", "S", "S", "S", "P", "S", "As", "As", "S", "P", "S", "S", "S", "S", "As", "S", "S", "As", "S", "P", "S", "P", "S", "P", "S", "S", "S", "P", "S"], "frac_coords": [[0.299, 0.042, 0.405], [0.040, 0.250, 0.434], [0.460, 0.750, 0.434], [0.039, 0.745, 0.936], [0.213, 0.461, 0.906], [0.960, 0.750, 0.566], [0.713, 0.039, 0.094], [0.904, 0.367, 0.327], [0.096, 0.633, 0.673], [0.201, 0.542, 0.405], [0.961, 0.255, 0.064], [0.409, 0.872, 0.170], [0.591, 0.128, 0.830], [0.539, 0.755, 0.064], [0.843, 0.146, 0.165], [0.343, 0.354, 0.835], [0.494, 0.547, 0.250], [0.220, 0.252, 0.735], [0.799, 0.458, 0.595], [0.157, 0.854, 0.835], [0.719, 0.743, 0.767], [0.091, 0.372, 0.170], [0.596, 0.867, 0.327], [0.280, 0.752, 0.735], [0.837, 0.852, 0.666], [0.781, 0.243, 0.767], [0.219, 0.757, 0.233], [0.281, 0.257, 0.233], [0.287, 0.961, 0.906], [0.404, 0.133, 0.673], [0.994, 0.953, 0.750], [0.506, 0.453, 0.750], [0.909, 0.628, 0.830], [0.006, 0.047, 0.250], [0.337, 0.648, 0.334], [0.787, 0.539, 0.094], [0.657, 0.646, 0.165], [0.540, 0.250, 0.566], [0.163, 0.148, 0.334], [0.720, 0.248, 0.265], [0.780, 0.748, 0.265], [0.701, 0.958, 0.595], [0.663, 0.352, 0.666], [0.461, 0.245, 0.936]]}

{"formula": "AsP2S2", "functional": "PBE", "state": "optimized geometry", "relative_energy_mev_per_atom": 388, "dos_at_fermi_per_ev_atom": 0.813, "m_tot_mub_per_fu": 0.000, "mass_density_g_cm3": 3.23, "lattice_angstrom": [[4.588, 0.000, 0.000], [0.000, 4.588, 0.000], [0.000, 0.000, 4.908]], "species": ["P", "S", "S", "P", "As"], "frac_coords": [[0.500, 0.500, 0.500], [0.000, 0.500, 0.000], [0.500, 0.000, 0.000], [0.000, 0.000, 0.500], [0.000, 0.000, 0.000]]}